(1)
Compound: Mg2FeB2Ir5
Source: the Alexandria database
Functional: PBEsol
Structure: optimized geometry

Cell: 2.8946 9.3623 9.3623 Å, 90.00 90.00 90.00°
Closest atoms and distances in Å follow each position.
Element x y z (fractional)
1 Mg 0.0000 0.1766 0.6766  3 B 2.61-2.87, 10 Ir 2.75-2.92, 2 Mg 2.89
2 Mg 0.0000 0.3234 0.1766  3 B 2.61-2.87, 10 Ir 2.75-2.92, 2 Mg 2.89
3 Mg 0.0000 0.6766 0.8234  3 B 2.61-2.87, 10 Ir 2.75-2.92, 2 Mg 2.89
4 Mg 0.0000 0.8234 0.3234  3 B 2.61-2.87, 10 Ir 2.75-2.92, 2 Mg 2.89
5 Ir 0.5000 0.5703 0.2868  2 B 2.15
6 Ir 0.5000 0.7132 0.5703  2 B 2.15
7 Ir 0.5000 0.0000 0.5000  4 B 2.21
8 Ir 0.5000 0.0703 0.2132  2 B 2.15
9 Ir 0.5000 0.7868 0.0703  2 B 2.15
10 Ir 0.5000 0.9297 0.7868  2 B 2.15
11 Ir 0.5000 0.2132 0.9297  2 B 2.15
12 Ir 0.5000 0.5000 0.0000  4 B 2.21
13 Ir 0.5000 0.2868 0.4297  2 B 2.15
14 Ir 0.5000 0.4297 0.7132  2 B 2.15
15 B 0.0000 0.3739 0.8739  6 Ir 2.15-2.21
16 B 0.0000 0.8739 0.6261  6 Ir 2.15-2.21
17 B 0.0000 0.6261 0.1261  6 Ir 2.15-2.21
18 B 0.0000 0.1261 0.3739  6 Ir 2.15-2.21
19 Fe 0.0000 0.0000 0.0000  8 Ir 2.55
20 Fe 0.0000 0.5000 0.5000  8 Ir 2.55

Summary:
energy of formation	-0.40	eV/atom
density of states at the Fermi level	7.09	states/eV/cell
space-group type	P4/mbm (127)

(2)
Compound: Zr2FeBIr
Source: the Alexandria database
Functional: PBEsol
Structure: optimized geometry

Cell: 4.4825 4.9148 4.9148 Å, 90.00 90.00 90.00°
Closest atoms and distances in Å follow each position.
Element x y z (fractional)
1 Zr 0.0000 0.0000 0.5000  2 Ir 2.46
2 Zr 0.0000 0.5000 0.0000  2 Ir 2.46
3 B 0.5000 0.5000 0.5000  8 Zr 3.33, 4 Fe 3.48
4 Ir 0.0000 0.0000 0.0000  2 Fe 2.24, 4 Zr 2.46
5 Fe 0.5000 0.0000 0.0000  2 Ir 2.24

Summary:
energy of formation	1.25	eV/atom
density of states at the Fermi level	5.25	states/eV/cell
space-group type	P4/mmm (123)

(3)
Compound: LaMgFeB2
Source: the Alexandria database
Functional: PBEsol
Structure: optimized geometry

Cell: 4.5886 4.6999 4.6999 Å, 90.00 90.00 90.00°
Closest atoms and distances in Å follow each position.
Element x y z (fractional)
1 B 0.0000 0.0000 0.5000  2 La 2.35
2 B 0.0000 0.5000 0.0000  2 La 2.35
3 Fe 0.5000 0.0000 0.0000  2 La 2.29
4 La 0.0000 0.0000 0.0000  2 Fe 2.29, 4 B 2.35
5 Mg 0.5000 0.5000 0.5000  8 B 3.28, 4 Fe 3.32

Summary:
energy of formation	1.97	eV/atom
density of states at the Fermi level	4.25	states/eV/cell
space-group type	P4/mmm (123)

(4)
Compound: LiFe2B
Source: the Alexandria database
Functional: PBEsol
Structure: optimized geometry

Cell: 3.6466 3.6466 3.6466 Å, 60.00 60.00 60.00°
Closest atoms and distances in Å follow each position.
Element x y z (fractional)
1 B 0.5000 0.5000 0.5000  8 Fe 2.23
2 Li 0.0000 0.0000 0.0000  8 Fe 2.23
3 Fe 0.2500 0.2500 0.2500  4 Li 2.23, 4 B 2.23
4 Fe 0.7500 0.7500 0.7500  4 B 2.23, 4 Li 2.23

Summary:
energy of formation	0.14	eV/atom
density of states at the Fermi level	3.82	states/eV/cell
space-group type	Fm-3m (225)

(5)
Compound: Li9Fe4B8O24
Source: the Alexandria database
Functional: PBEsol
Structure: optimized geometry

Cell: 5.1503 8.8559 9.4430 Å, 90.28 87.70 90.45°
Closest atoms and distances in Å follow each position.
Element x y z (fractional)
1 O 0.7812 0.6865 0.8442  1 B 1.40
2 O 0.1960 0.0411 0.0949  1 B 1.34
3 O 0.4264 0.1835 0.4395  1 B 1.39
4 O 0.1874 0.7196 0.6709  1 B 1.41
5 O 0.2200 0.9868 0.6512  1 B 1.37
6 O 0.7466 0.5153 0.1599  1 B 1.35
7 O 0.0985 0.3257 0.5976  1 B 1.40
8 O 0.2849 0.8084 0.3461  1 B 1.40
9 O 0.7639 0.0177 0.3459  1 B 1.35
10 O 0.6047 0.1691 0.0995  1 B 1.40
11 O 0.7177 0.1830 0.6582  1 B 1.41
12 O 0.6858 0.4457 0.5988  1 B 1.34
13 O 0.3062 0.5460 0.4073  1 B 1.34
14 O 0.9300 0.3193 0.9429  1 B 1.39
15 O 0.0790 0.6793 0.0563  1 B 1.41
16 O 0.3974 0.8283 0.8957  1 B 1.39
17 O 0.6990 0.7840 0.1659  1 B 1.39
18 O 0.8972 0.6724 0.4068  1 B 1.40
19 O 0.2186 0.3041 0.1619  1 B 1.40
20 O 0.5884 0.8317 0.5805  1 B 1.39
21 O 0.2558 0.4859 0.8354  1 B 1.35
22 O 0.8048 0.9569 0.8735  1 B 1.35
23 O 0.3046 0.2179 0.8253  1 B 1.41
24 O 0.8037 0.2864 0.3262  1 B 1.40
25 Fe 0.8670 0.3160 0.1328  5 O 1.81-1.90
26 Fe 0.6406 0.8175 0.3716  5 O 1.86-1.98
27 Fe 0.1347 0.6849 0.8668  5 O 1.80-1.89
28 Fe 0.3598 0.1893 0.6296  5 O 1.82-1.94
29 Li 0.6640 0.4904 0.3799  5 O 1.92-2.12
30 Li 0.8394 0.9894 0.1306  4 O 1.91-2.07
31 Li 0.1834 0.3424 0.3749  5 O 1.93-2.14
32 Li 0.3243 0.8362 0.1268  5 O 1.97-2.20
33 Li 0.6737 0.1654 0.8838  5 O 1.97-2.14
34 Li 0.3301 0.5112 0.6178  5 O 1.93-2.09
35 Li 0.8126 0.6502 0.6242  5 O 1.94-2.10
36 Li 0.8467 0.9802 0.6576  4 O 1.92-2.05
37 Li 0.1703 0.0122 0.8895  4 O 1.95-2.03
38 B 0.3331 0.1675 0.1204  3 O 1.34-1.40
39 B 0.1672 0.3472 0.8709  3 O 1.35-1.41
40 B 0.6666 0.1567 0.3714  3 O 1.35-1.40
41 B 0.6663 0.8263 0.8727  3 O 1.35-1.40
42 B 0.8290 0.3232 0.6195  3 O 1.34-1.41
43 B 0.1677 0.6710 0.3855  3 O 1.34-1.40
44 B 0.3349 0.8490 0.6326  3 O 1.37-1.41
45 B 0.8342 0.6550 0.1242  3 O 1.35-1.41

Summary:
density of states at the Fermi level	7.45	states/eV/cell
space-group type	P1 (1)
formation energy from raw total energies	-2003	meV per atom

(6)
Compound: Li4FeB2O6
Source: the Alexandria database
Functional: PBEsol
Structure: optimized geometry

Cell: 3.1945 7.8621 9.3092 Å, 90.00 90.00 91.68°
Closest atoms and distances in Å follow each position.
Element x y z (fractional)
1 O 0.0240 0.5785 0.3669  1 B 1.36
2 O 0.0037 0.2483 0.8444  1 B 1.38
3 O 0.0278 0.8814 0.3912  1 B 1.42
4 O 0.4963 0.2517 0.3444  1 B 1.38
5 O 0.5278 0.3814 0.1088  1 B 1.42
6 O 0.5240 0.0785 0.1331  1 B 1.36
7 O 0.9963 0.7517 0.1556  1 B 1.38
8 O 0.4760 0.9215 0.8669  1 B 1.36
9 O 0.9760 0.4215 0.6331  1 B 1.36
10 O 0.4722 0.6186 0.8912  1 B 1.42
11 O 0.9722 0.1186 0.6088  1 B 1.42
12 O 0.5037 0.7483 0.6556  1 B 1.38
13 B 0.9815 0.2662 0.6971  3 O 1.36-1.42
14 B 0.5185 0.2338 0.1971  3 O 1.36-1.42
15 B 0.4815 0.7662 0.8029  3 O 1.36-1.42
16 B 0.0185 0.7338 0.3029  3 O 1.36-1.42
17 Li 0.0029 0.3333 0.4424  4 O 1.91-2.05
18 Li 0.9847 0.0031 0.7889  4 O 1.86-1.99
19 Li 0.5029 0.8333 0.0576  4 O 1.91-2.05
20 Li 0.4847 0.5031 0.7111  4 O 1.86-1.99
21 Li 0.9971 0.6667 0.5576  4 O 1.91-2.05
22 Li 0.5153 0.4969 0.2889  4 O 1.86-1.99
23 Li 0.4971 0.1667 0.9424  4 O 1.91-2.05
24 Li 0.0153 0.9969 0.2111  4 O 1.86-1.99
25 Fe 0.0000 0.5000 0.0000  4 O 2.02-2.20
26 Fe 0.5000 0.0000 0.5000  4 O 2.02-2.20

Summary:
density of states at the Fermi level	7.58	states/eV/cell
space-group type	P2_1/c (14)
formation energy from raw total energies	-2031	meV per atom

(7)
Compound: Li5Fe6B6O18
Source: the Alexandria database
Functional: PBEsol
Structure: optimized geometry

Cell: 5.8796 8.1864 8.6437 Å, 118.11 109.88 90.00°
Closest atoms and distances in Å follow each position.
Element x y z (fractional)
1 O 0.5206 0.1289 0.0411  1 B 1.39
2 O 0.5380 0.4373 0.0760  1 B 1.39
3 O 0.0401 0.4406 0.0801  1 B 1.38
4 O 0.5989 0.1111 0.6961  1 B 1.39
5 O 0.0193 0.7388 0.0386  1 B 1.39
6 O 0.4444 0.8112 0.4092  1 B 1.37
7 O 0.3779 0.7832 0.7558  1 B 1.39
8 O 0.1825 0.4229 0.3649  1 B 1.38
9 O 0.4482 0.0953 0.3934  1 B 1.39
10 O 0.0304 0.1380 0.0608  1 B 1.39
11 O 0.9451 0.0953 0.3934  1 B 1.39
12 O 0.8864 0.7888 0.7728  1 B 1.37
13 O 0.0972 0.1111 0.6961  1 B 1.39
14 O 0.8596 0.4732 0.7192  1 B 1.39
15 O 0.5150 0.7426 0.0300  1 B 1.39
16 O 0.6758 0.3996 0.3515  1 B 1.37
17 O 0.9648 0.8112 0.4092  1 B 1.37
18 O 0.3575 0.4719 0.7150  1 B 1.39
19 B 0.4984 0.0037 0.4986  3 O 1.37-1.39
20 B 0.0842 0.3333 0.1684  3 O 1.38-1.39
21 B 0.9217 0.6675 0.8434  3 O 1.37-1.39
22 B 0.4168 0.6665 0.8336  3 O 1.39
23 B 0.5792 0.3240 0.1583  3 O 1.37-1.39
24 B 0.0002 0.0037 0.4986  3 O 1.37-1.39
25 Fe 0.5088 0.3699 0.5070  5 O 1.96-2.10
26 Fe 0.1656 0.9877 0.8491  5 O 1.96-2.10
27 Fe 0.6835 0.9877 0.8491  5 O 1.96-2.10
28 Fe 0.9982 0.3699 0.5070  5 O 1.96-2.10
29 Fe 0.3288 0.6411 0.1443  5 O 1.89-2.09
30 Fe 0.8155 0.6411 0.1443  5 O 1.89-2.09
31 Li 0.1068 0.0119 0.2137  4 O 1.95-1.97
32 Li 0.6049 0.0178 0.2098  4 O 1.95-1.99
33 Li 0.3997 0.2870 0.7994  4 O 1.93-1.95
34 Li 0.2433 0.7000 0.4866  4 O 1.94-1.97
35 Li 0.9014 0.2889 0.8028  4 O 1.94-1.95

Summary:
density of states at the Fermi level	9.97	states/eV/cell
space-group type	Cm (8)
formation energy from raw total energies	-1825	meV per atom

(8)
Compound: Li2FeB2O6
Source: the Alexandria database
Functional: PBEsol
Structure: optimized geometry

Cell: 4.6142 4.6142 5.5459 Å, 65.42 65.42 60.00°
Closest atoms and distances in Å follow each position.
Element x y z (fractional)
1 O 0.6279 0.2740 0.2284  1 B 1.38
2 O 0.3721 0.7260 0.7716  1 B 1.38
3 O 0.1304 0.3721 0.7716  1 B 1.38
4 O 0.8696 0.6279 0.2284  1 B 1.38
5 O 0.7260 0.1304 0.7716  1 B 1.38
6 O 0.2740 0.8696 0.2284  1 B 1.38
7 B 0.5956 0.5956 0.2132  3 O 1.38
8 B 0.4044 0.4044 0.7868  3 O 1.38
9 Fe 0.0000 0.0000 0.0000  6 O 1.87
10 Li 0.8085 0.8085 0.5745  3 O 2.00
11 Li 0.1915 0.1915 0.4255  3 O 2.00

Summary:
density of states at the Fermi level	6.41	states/eV/cell
space-group type	R-3 (148)
formation energy from raw total energies	-2022	meV per atom

Question: Which of these has the highest density of states at the Fermi level?
Answer: Li5Fe6B6O18